1.
Zr2SbPt: relaxed, PBE-GGA.

Output
- Crystal system: cubic
- E: -7.01 eV/atom
- SG: F-43m (216)

Lattice parameters (Å, degrees): 4.870 4.870 4.870 60.00 60.00 60.00
Atoms (fractional coordinates):
Zr 0.000 0.000 0.000
Zr 0.250 0.250 0.250
Sb 0.500 0.500 0.500
Pt 0.750 0.750 0.750

---

2.
Zr3Sb4Pt4: relaxed, PBE-GGA.

Output
- Crystal system: monoclinic
- E: -6.77 eV/atom
- SG: Pm (6)

Lattice parameters (Å, degrees): 6.917 4.301 7.875 90.00 93.93 90.00
Atoms (fractional coordinates):
Zr 0.000 0.000 0.000
Zr 0.043 0.500 0.394
Zr 0.522 0.000 0.918
Sb 0.301 0.000 0.605
Sb 0.315 0.500 0.087
Sb 0.707 0.000 0.321
Sb 0.745 0.500 0.770
Pt 0.149 0.500 0.769
Pt 0.303 0.000 0.278
Pt 0.757 0.500 0.121
Pt 0.904 0.000 0.629

---

3.
Zr3Sb4Pt4: relaxed, PBE-GGA.

Output
- Crystal system: tetragonal
- E: -6.92 eV/atom
- SG: I-42m (121)

Lattice parameters (Å, degrees): 7.753 7.753 7.753 131.20 131.20 71.50
Atoms (fractional coordinates):
Zr 0.000 0.000 0.000
Zr 0.250 0.750 0.500
Zr 0.750 0.250 0.500
Sb 0.000 0.500 0.500
Sb 0.266 0.266 0.000
Sb 0.500 0.000 0.500
Sb 0.734 0.734 0.000
Pt 0.105 0.105 0.471
Pt 0.366 0.895 0.000
Pt 0.634 0.634 0.529
Pt 0.895 0.366 0.000

---

4.
Sc2Pt: relaxed, PBE-GGA.

Output
- Energy of formation: 669 meV per atom
- Crystal system: cubic
- E: -5.57 eV/atom
- SG: Fd-3m (227)

Lattice parameters (Å, degrees): 8.111 8.111 8.111 60.00 60.00 60.00
Atoms (fractional coordinates):
Sc 0.000 0.000 0.000
Sc 0.000 0.000 0.500
Sc 0.000 0.500 0.000
Sc 0.500 0.000 0.000
Pt 0.125 0.125 0.125
Pt 0.875 0.875 0.875

---

5.
ScPt: relaxed, PBE-GGA.

Output
- Energy of formation: -1229 meV per atom
- Crystal system: cubic
- E: -7.42 eV/atom
- SG: Pm-3m (221)

Lattice parameters (Å, degrees): 3.285 3.285 3.285 90.00 90.00 90.00
Atoms (fractional coordinates):
Sc 0.000 0.000 0.000
Pt 0.500 0.500 0.500

---

6.
Sc2Pt: relaxed, PBE-GGA.

Output
- Energy of formation: -58 meV per atom
- Crystal system: cubic
- E: -6.30 eV/atom
- SG: Fd-3m (227)

Lattice parameters (Å, degrees): 5.373 5.373 5.373 60.00 60.00 60.00
Atoms (fractional coordinates):
Sc 0.000 0.000 0.000
Sc 0.000 0.000 0.500
Sc 0.000 0.500 0.000
Sc 0.500 0.000 0.000
Pt 0.375 0.375 0.375
Pt 0.625 0.625 0.625

---

7.
Sc5Pt3: relaxed, PBE-GGA.

Output
- Energy of formation: -1026 meV per atom
- Crystal system: hexagonal
- E: -7.25 eV/atom
- SG: P6_3/mcm (193)

Lattice parameters (Å, degrees): 8.007 8.007 5.590 90.00 90.00 120.00
Atoms (fractional coordinates):
Sc 0.000 0.241 0.250
Sc 0.000 0.759 0.750
Sc 0.241 0.000 0.250
Sc 0.241 0.241 0.750
Sc 0.333 0.667 0.000
Sc 0.333 0.667 0.500
Sc 0.667 0.333 0.000
Sc 0.667 0.333 0.500
Sc 0.759 0.000 0.750
Sc 0.759 0.759 0.250
Pt 0.000 0.397 0.750
Pt 0.000 0.603 0.250
Pt 0.397 0.000 0.750
Pt 0.397 0.397 0.250
Pt 0.603 0.000 0.250
Pt 0.603 0.603 0.750

---

8.
Sc2PtSe: relaxed, PBE-GGA.

Output
- Crystal system: trigonal
- E: -6.71 eV/atom
- SG: P3m1 (156)

Lattice parameters (Å, degrees): 3.944 3.944 6.984 90.00 90.00 120.00
Atoms (fractional coordinates):
Sc 0.000 0.000 0.000
Sc 0.333 0.667 0.406
Pt 0.667 0.333 0.184
Se 0.000 0.000 0.625

---

9.
Sr2ScPtSe6: relaxed, PBE-GGA.

Output
- Crystal system: triclinic
- E: -4.82 eV/atom
- SG: P-1 (2)

Lattice parameters (Å, degrees): 6.355 6.800 7.099 68.50 66.23 67.27
Atoms (fractional coordinates):
Sr 0.247 0.282 0.240
Sr 0.753 0.718 0.760
Sc 0.000 0.000 0.000
Pt 0.500 0.500 0.500
Se 0.150 0.743 0.340
Se 0.253 0.649 0.832
Se 0.361 0.159 0.708
Se 0.639 0.841 0.292
Se 0.747 0.351 0.168
Se 0.850 0.257 0.660

---

10.
Sc3Si3Pt: relaxed, PBE-GGA.

Output
- Crystal system: orthorhombic
- E: -6.91 eV/atom
- SG: Pnma (62)

Lattice parameters (Å, degrees): 11.708 4.039 10.248 90.00 90.00 90.00
Atoms (fractional coordinates):
Sc 0.021 0.250 0.124
Sc 0.099 0.250 0.420
Sc 0.199 0.750 0.659
Sc 0.301 0.250 0.159
Sc 0.401 0.750 0.920
Sc 0.479 0.750 0.624
Sc 0.521 0.250 0.376
Sc 0.599 0.250 0.080
Sc 0.699 0.750 0.841
Sc 0.801 0.250 0.341
Sc 0.901 0.750 0.580
Sc 0.979 0.750 0.876
Si 0.043 0.250 0.688
Si 0.156 0.750 0.247
Si 0.176 0.750 0.017
Si 0.324 0.250 0.517
Si 0.344 0.250 0.747
Si 0.457 0.750 0.188
Si 0.543 0.250 0.812
Si 0.656 0.750 0.253
Si 0.676 0.750 0.483
Si 0.824 0.250 0.983
Si 0.844 0.250 0.753
Si 0.957 0.750 0.312
Pt 0.178 0.250 0.887
Pt 0.322 0.750 0.387
Pt 0.678 0.250 0.613
Pt 0.822 0.750 0.113

---

11.
Sc5Si7Pt9: relaxed, PBE-GGA.

Output
- Crystal system: hexagonal
- E: -7.03 eV/atom
- SG: P-6 (174)

Lattice parameters (Å, degrees): 10.012 10.012 3.912 90.00 90.00 120.00
Atoms (fractional coordinates):
Sc 0.000 0.000 0.000
Sc 0.208 0.771 0.000
Sc 0.229 0.438 0.000
Sc 0.562 0.792 0.000
Sc 0.667 0.333 0.500
Si 0.020 0.239 0.500
Si 0.220 0.980 0.500
Si 0.333 0.667 0.500
Si 0.477 0.383 0.000
Si 0.617 0.094 0.000
Si 0.761 0.780 0.500
Si 0.906 0.523 0.000
Pt 0.049 0.505 0.500
Pt 0.252 0.233 0.500
Pt 0.385 0.115 0.000
Pt 0.456 0.951 0.500
Pt 0.495 0.544 0.500
Pt 0.731 0.615 0.000
Pt 0.767 0.019 0.500
Pt 0.885 0.269 0.000
Pt 0.981 0.748 0.500

---

12.
ScSi2Pt: relaxed, PBE-GGA.

Output
- Crystal system: cubic
- E: -6.17 eV/atom
- SG: F-43m (216)

Lattice parameters (Å, degrees): 4.521 4.521 4.521 60.00 60.00 60.00
Atoms (fractional coordinates):
Sc 0.000 0.000 0.000
Si 0.250 0.250 0.250
Si 0.500 0.500 0.500
Pt 0.750 0.750 0.750

---

13.
Sc4Si2Pt7: relaxed, PBE-GGA.

Output
- Crystal system: orthorhombic
- E: -7.23 eV/atom
- SG: Pbam (55)

Lattice parameters (Å, degrees): 6.537 16.349 4.012 90.00 90.00 90.00
Atoms (fractional coordinates):
Sc 0.026 0.209 0.000
Sc 0.214 0.961 0.000
Sc 0.286 0.461 0.000
Sc 0.474 0.709 0.000
Sc 0.526 0.291 0.000
Sc 0.714 0.539 0.000
Sc 0.786 0.039 0.000
Sc 0.974 0.791 0.000
Si 0.161 0.693 0.500
Si 0.339 0.193 0.500
Si 0.661 0.807 0.500
Si 0.839 0.307 0.500
Pt 0.000 0.500 0.500
Pt 0.092 0.618 0.000
Pt 0.094 0.079 0.500
Pt 0.215 0.332 0.500
Pt 0.285 0.832 0.500
Pt 0.406 0.579 0.500
Pt 0.408 0.118 0.000
Pt 0.500 0.000 0.500
Pt 0.592 0.882 0.000
Pt 0.594 0.421 0.500
Pt 0.715 0.168 0.500
Pt 0.785 0.668 0.500
Pt 0.906 0.921 0.500
Pt 0.908 0.382 0.000

---

14.
Sc2SiPt: relaxed, PBE-GGA.

Output
- Crystal system: cubic
- E: -6.56 eV/atom
- SG: F-43m (216)

Lattice parameters (Å, degrees): 4.585 4.585 4.585 60.00 60.00 60.00
Atoms (fractional coordinates):
Sc 0.000 0.000 0.000
Sc 0.250 0.250 0.250
Si 0.500 0.500 0.500
Pt 0.750 0.750 0.750

---

15.
Sc2SiSnPt4: relaxed, PBE-GGA.

Output
- Crystal system: orthorhombic
- E: -6.76 eV/atom
- SG: Amm2 (38)

Lattice parameters (Å, degrees): 7.279 5.649 5.649 37.28 90.00 90.00
Atoms (fractional coordinates):
Sc 0.000 0.000 0.000
Sc 0.500 0.072 0.072
Si 0.500 0.797 0.797
Sn 0.000 0.275 0.275
Pt 0.220 0.659 0.659
Pt 0.311 0.404 0.404
Pt 0.689 0.404 0.404
Pt 0.780 0.659 0.659

---

16.
TbScSi2Pt4: relaxed, PBE-GGA.

Output
- Crystal system: orthorhombic
- E: -6.89 eV/atom
- SG: Amm2 (38)

Lattice parameters (Å, degrees): 7.063 5.367 5.367 41.50 90.00 90.00
Atoms (fractional coordinates):
Tb 0.000 0.000 0.000
Sc 0.500 0.102 0.102
Si 0.000 0.283 0.283
Si 0.500 0.821 0.821
Pt 0.204 0.694 0.694
Pt 0.302 0.412 0.412
Pt 0.698 0.412 0.412
Pt 0.796 0.694 0.694

---

17.
TmScSi2Pt4: relaxed, PBE-GGA.

Output
- Crystal system: orthorhombic
- E: -6.89 eV/atom
- SG: Amm2 (38)

Lattice parameters (Å, degrees): 7.069 5.351 5.351 41.21 90.00 90.00
Atoms (fractional coordinates):
Tm 0.000 0.000 0.000
Sc 0.500 0.098 0.098
Si 0.000 0.282 0.282
Si 0.500 0.817 0.817
Pt 0.204 0.691 0.691
Pt 0.301 0.411 0.411
Pt 0.699 0.411 0.411
Pt 0.796 0.691 0.691

---

18.
YScSi2Pt4: relaxed, PBE-GGA.

Output
- Crystal system: orthorhombic
- E: -7.12 eV/atom
- SG: Amm2 (38)

Lattice parameters (Å, degrees): 7.067 5.362 5.362 41.51 90.00 90.00
Atoms (fractional coordinates):
Y 0.000 0.000 0.000
Sc 0.500 0.102 0.102
Si 0.000 0.283 0.283
Si 0.500 0.821 0.821
Pt 0.204 0.694 0.694
Pt 0.302 0.412 0.412
Pt 0.698 0.412 0.412
Pt 0.796 0.694 0.694

---

19.
ZrScSi2Pt4: relaxed, PBE-GGA.

Output
- Crystal system: orthorhombic
- E: -7.35 eV/atom
- SG: Amm2 (38)

Lattice parameters (Å, degrees): 6.970 5.240 5.240 42.88 90.00 90.00
Atoms (fractional coordinates):
Zr 0.000 0.000 0.000
Sc 0.500 0.107 0.107
Si 0.000 0.284 0.284
Si 0.500 0.824 0.824
Pt 0.202 0.693 0.693
Pt 0.299 0.415 0.415
Pt 0.701 0.415 0.415
Pt 0.798 0.693 0.693

---

20.
ScTaSn2Pt2: relaxed, PBE-GGA.

Output
- Crystal system: orthorhombic
- E: -7.20 eV/atom
- SG: Pmn2_1 (31)

Lattice parameters (Å, degrees): 4.462 8.937 6.319 90.00 90.00 90.00
Atoms (fractional coordinates):
Sc 0.000 0.123 0.000
Sc 0.500 0.877 0.500
Ta 0.000 0.625 0.993
Ta 0.500 0.375 0.493
Sn 0.000 0.121 0.505
Sn 0.000 0.630 0.486
Sn 0.500 0.370 0.986
Sn 0.500 0.879 0.005
Pt 0.000 0.385 0.734
Pt 0.000 0.864 0.757
Pt 0.500 0.136 0.257
Pt 0.500 0.615 0.234

---

21.
SrScPt: relaxed, PBE-GGA.

Output
- Crystal system: cubic
- E: -4.29 eV/atom
- SG: F-43m (216)

Lattice parameters (Å, degrees): 4.813 4.813 4.813 60.00 60.00 60.00
Atoms (fractional coordinates):
Sr 0.000 0.000 0.000
Sc 0.250 0.250 0.250
Pt 0.750 0.750 0.750

---

22.
SrSc2Pt2: relaxed, PBE-GGA.

Output
- Crystal system: tetragonal
- E: -6.30 eV/atom
- SG: I4/mmm (139)

Lattice parameters (Å, degrees): 6.664 6.664 6.664 140.88 140.88 56.53
Atoms (fractional coordinates):
Sr 0.000 0.000 0.000
Sc 0.250 0.750 0.500
Sc 0.750 0.250 0.500
Pt 0.382 0.382 0.000
Pt 0.618 0.618 0.000

---

23.
SrScPt: relaxed, PBE-GGA.

Output
- Crystal system: tetragonal
- E: -5.54 eV/atom
- SG: P4/nmm (129)

Lattice parameters (Å, degrees): 4.520 4.520 7.953 90.00 90.00 90.00
Atoms (fractional coordinates):
Sr 0.250 0.250 0.146
Sr 0.750 0.750 0.854
Sc 0.250 0.750 0.500
Sc 0.750 0.250 0.500
Pt 0.250 0.250 0.691
Pt 0.750 0.750 0.309